No. 1
Density functional theory data (PBE) for a geometry-optimized KFeTe2Pd structure.

Lattice parameters (Å, degrees): 5.324 5.324 5.444 90.00 90.00 90.00
Space group P4/mmm (No. 123)
One atom of each set of equivalent atoms:
K 0.000 0.000 0.000
Fe 0.500 0.500 0.000
Te 0.000 0.500 0.500
Pd 0.000 0.000 0.500

volume	154.3	Å³/f.u.
Fermi-level density of states	6.2	states/eV/f.u.

=====

No. 2
Density functional theory data (PBE) for a geometry-optimized Na2SrSbO structure.

Lattice parameters (Å, degrees): 4.920 4.920 4.887 90.00 90.00 90.00
Space group P4/mmm (No. 123)
One atom of each set of equivalent atoms:
Na 0.000 0.500 0.000
Sr 0.000 0.000 0.500
Sb 0.500 0.500 0.500
O 0.000 0.000 0.000

volume	118.3	Å³/f.u.
Fermi-level density of states	3.9	states/eV/f.u.

=====

no.,E_form (uncorrected) (eV per formula unit)
1,2.6
2,-5.7